No. 1
The following is a DFT calculation (GGA-PBEsol) of a geometry-optimized CdCoAg2 structure.

## Properties
E_form = 0.296 eV per atom
N(E_F) = 4.1 states/eV/cell

Cell and atoms, written as POSCAR:
```
CdCoAg2
1.0
-1.4652 2.3310 4.6218
1.4652 -2.3310 4.6218
1.4652 2.3310 -4.6218
Cd Co Ag
1 1 2
Direct
0.0000 0.0000 0.0000 Cd
0.2397 0.7397 0.5000 Co
0.4744 0.4744 0.0000 Ag
0.7362 0.2362 0.5000 Ag
```

***

No. 2
The following is a DFT calculation (GGA-PBEsol) of a geometry-optimized MgAl2Cd structure.

## Properties
E_form = 0.030 eV per atom
N(E_F) = 1.2 states/eV/cell

Cell and atoms, written as POSCAR:
```
MgAl2Cd
1.0
4.1490 0.0000 0.0000
0.0000 4.1490 0.0000
0.0000 0.0000 4.3555
Mg Al Cd
1 2 1
Direct
0.0000 0.0000 0.0000 Mg
0.0000 0.5000 0.5000 Al
0.5000 0.0000 0.5000 Al
0.5000 0.5000 0.0000 Cd
```

***

No. 3
The following is a DFT calculation (GGA-PBEsol) of a geometry-optimized SiIr2Cl structure.

## Properties
N(E_F) = 3.6 states/eV/cell
Formation energy (no corrections) = 566 meV/atom

Cell and atoms, written as POSCAR:
```
SiIr2Cl
1.0
4.4038 0.0000 0.0000
0.0000 4.4038 0.0000
0.0000 0.0000 2.8783
Si Ir Cl
1 2 1
Direct
0.0000 0.0000 0.0000 Si
0.0000 0.5000 0.5000 Ir
0.5000 0.0000 0.5000 Ir
0.5000 0.5000 0.0000 Cl
```

***

No. 4
The following is a DFT calculation (GGA-PBEsol) of a geometry-optimized Sr2Au structure.

## Properties
E_form = -0.442 eV per atom
N(E_F) = 5.3 states/eV/cell

Cell and atoms, written as POSCAR:
```
Sr2Au
1.0
-1.8968 1.8968 14.6717
1.8968 -1.8968 14.6717
1.8968 1.8968 -14.6717
Sr Au
4 2
Direct
0.3136 0.5636 0.7500 Sr
0.4364 0.6864 0.7500 Sr
0.5636 0.3136 0.2500 Sr
0.6864 0.4364 0.2500 Sr
0.1250 0.8750 0.2500 Au
0.8750 0.1250 0.7500 Au
```

***

No. 5
The following is a DFT calculation (GGA-PBEsol) of a geometry-optimized HfFeSn2 structure.

## Properties
E_form = 0.175 eV per atom
N(E_F) = 3.0 states/eV/cell

Cell and atoms, written as POSCAR:
```
HfFeSn2
1.0
0.0000 3.3418 3.3418
3.3418 0.0000 3.3418
3.3418 3.3418 0.0000
Hf Fe Sn
1 1 2
Direct
0.0000 0.0000 0.0000 Hf
0.5000 0.5000 0.5000 Fe
0.2500 0.2500 0.2500 Sn
0.7500 0.7500 0.7500 Sn
```

***

No. 6
The following is a DFT calculation (GGA-PBEsol) of a geometry-optimized AgAsSe2 structure.

## Properties
N(E_F) = 0.6 states/eV/cell
Formation energy (no corrections) = -88 meV/atom

Cell and atoms, written as POSCAR:
```
AgAsSe2
1.0
3.7917 0.0000 0.0000
0.0000 3.7917 0.0000
0.0000 0.0000 6.0051
Ag As Se
1 1 2
Direct
0.0000 0.0000 0.0000 Ag
0.5000 0.5000 0.4982 As
0.0000 0.0000 0.5648 Se
0.5000 0.5000 0.1031 Se
```

***

No. 7
The following is a DFT calculation (GGA-PBEsol) of a geometry-optimized BeAg structure.

## Properties
E_form = 0.229 eV per atom
N(E_F) = 1.2 states/eV/cell

Cell and atoms, written as POSCAR:
```
BeAg
1.0
2.7749 0.0000 0.0000
-1.3875 2.4031 0.0000
0.0000 0.0000 7.7207
Be Ag
2 2
Direct
0.3333 0.6667 0.2500 Be
0.6667 0.3333 0.7500 Be
0.0000 0.0000 0.0000 Ag
0.0000 0.0000 0.5000 Ag
```

***

No. 8
The following is a DFT calculation (GGA-PBEsol) of a geometry-optimized Sr2ZrTiO6 structure.

## Properties
N(E_F) = 0.0 states/eV/cell
Formation energy (no corrections) = -3245 meV/atom

Cell and atoms, written as POSCAR:
```
Sr2ZrTiO6
1.0
0.0000 4.0128 4.0128
4.0128 0.0000 4.0128
4.0128 4.0128 0.0000
Sr Zr Ti O
2 1 1 6
Direct
0.2500 0.2500 0.2500 Sr
0.7500 0.7500 0.7500 Sr
0.0000 0.0000 0.0000 Zr
0.5000 0.5000 0.5000 Ti
0.2572 0.2572 0.7428 O
0.2572 0.7428 0.2572 O
0.2572 0.7428 0.7428 O
0.7428 0.2572 0.2572 O
0.7428 0.2572 0.7428 O
0.7428 0.7428 0.2572 O
```

***

No. 9
The following is a DFT calculation (GGA-PBEsol) of a geometry-optimized MnCoMo3 structure.

## Properties
E_form = 1.348 eV per atom
N(E_F) = 6.5 states/eV/cell

Cell and atoms, written as POSCAR:
```
MnCoMo3
1.0
4.3849 0.0000 0.0000
0.0000 4.3849 0.0000
0.0000 0.0000 4.3849
Mn Co Mo
1 1 3
Direct
0.0000 0.0000 0.0000 Mn
0.5000 0.5000 0.5000 Co
0.0000 0.5000 0.5000 Mo
0.5000 0.0000 0.5000 Mo
0.5000 0.5000 0.0000 Mo
```

***

No. 10
The following is a DFT calculation (GGA-PBEsol) of a geometry-optimized ZrAl2InFe structure.

## Properties
E_form = 1.122 eV per atom
N(E_F) = 4.8 states/eV/cell

Cell and atoms, written as POSCAR:
```
ZrAl2InFe
1.0
4.8494 0.0000 0.0000
0.0000 4.8494 0.0000
0.0000 0.0000 4.6690
Zr Al In Fe
1 2 1 1
Direct
0.0000 0.0000 0.0000 Zr
0.0000 0.5000 0.5000 Al
0.5000 0.0000 0.5000 Al
0.5000 0.5000 0.5000 In
0.5000 0.5000 0.0000 Fe
```

***

No. 11
The following is a DFT calculation (GGA-PBEsol) of a geometry-optimized InNiP2 structure.

## Properties
E_form = 0.463 eV per atom
N(E_F) = 2.2 states/eV/cell

Cell and atoms, written as POSCAR:
```
InNiP2
1.0
0.0000 3.1300 3.1300
3.1300 0.0000 3.1300
3.1300 3.1300 0.0000
In Ni P
1 1 2
Direct
0.0000 0.0000 0.0000 In
0.7500 0.7500 0.7500 Ni
0.2500 0.2500 0.2500 P
0.5000 0.5000 0.5000 P
```

***

No. 12
The following is a DFT calculation (GGA-PBEsol) of a geometry-optimized MoIrCl2 structure.

## Properties
N(E_F) = 3.4 states/eV/cell
Formation energy (no corrections) = 582 meV/atom

Cell and atoms, written as POSCAR:
```
MoIrCl2
1.0
2.8132 -4.1721 0.0000
2.8132 4.1721 0.0000
-1.3358 0.0000 2.6134
Mo Ir Cl
1 1 2
Direct
0.0000 0.0000 0.0000 Mo
0.5000 0.5000 0.0000 Ir
0.0000 0.5000 0.0000 Cl
0.5000 0.0000 0.0000 Cl
```

***

No. 13
The following is a DFT calculation (GGA-PBEsol) of a geometry-optimized GaSnHg2 structure.

## Properties
E_form = 0.050 eV per atom
N(E_F) = 1.2 states/eV/cell

Cell and atoms, written as POSCAR:
```
GaSnHg2
1.0
0.0000 3.5679 3.5679
3.5679 0.0000 3.5679
3.5679 3.5679 0.0000
Ga Sn Hg
1 1 2
Direct
0.0000 0.0000 0.0000 Ga
0.5000 0.5000 0.5000 Sn
0.2500 0.2500 0.2500 Hg
0.7500 0.7500 0.7500 Hg
```

***

No. 14
The following is a DFT calculation (GGA-PBEsol) of a geometry-optimized SrAlAg2 structure.

## Properties
E_form = -0.184 eV per atom
N(E_F) = 2.2 states/eV/cell

Cell and atoms, written as POSCAR:
```
SrAlAg2
1.0
3.9116 -2.2563 0.0000
3.9116 2.2563 0.0000
-2.5842 0.0000 5.5428
Sr Al Ag
1 1 2
Direct
0.0000 0.0000 0.0000 Sr
0.1961 0.1961 0.5851 Al
0.5277 0.5277 0.5802 Ag
0.8061 0.8061 0.4147 Ag
```

***

No. 15
The following is a DFT calculation (GGA-PBEsol) of a geometry-optimized MnAgHg2 structure.

## Properties
E_form = 0.229 eV per atom
N(E_F) = 1.8 states/eV/cell

Cell and atoms, written as POSCAR:
```
MnAgHg2
1.0
3.2699 -3.5158 0.0000
3.2699 3.5158 0.0000
0.0000 0.0000 3.1221
Mn Ag Hg
1 1 2
Direct
0.0000 0.0000 0.0000 Mn
0.5000 0.5000 0.0000 Ag
0.0000 0.5000 0.5000 Hg
0.5000 0.0000 0.5000 Hg
```

***

No. 16
The following is a DFT calculation (GGA-PBEsol) of a geometry-optimized BeNi structure.

## Properties
E_form = -0.221 eV per atom
N(E_F) = 2.0 states/eV/cell

Cell and atoms, written as POSCAR:
```
BeNi
1.0
0.0000 2.6327 2.6327
2.6327 0.0000 2.6327
2.6327 2.6327 0.0000
Be Ni
2 2
Direct
0.1250 0.1250 0.1250 Be
0.8750 0.8750 0.8750 Be
0.3750 0.3750 0.3750 Ni
0.6250 0.6250 0.6250 Ni
```

***

No. 17
The following is a DFT calculation (GGA-PBEsol) of a geometry-optimized Ca2Co2Ge structure.

## Properties
E_form = -0.007 eV per atom
N(E_F) = 2.4 states/eV/cell

Cell and atoms, written as POSCAR:
```
Ca2Co2Ge
1.0
-1.6304 1.6304 9.0510
1.6304 -1.6304 9.0510
1.6304 1.6304 -9.0510
Ca Co Ge
2 2 1
Direct
0.1137 0.1137 0.0000 Ca
0.8863 0.8863 0.0000 Ca
0.2500 0.7500 0.5000 Co
0.7500 0.2500 0.5000 Co
0.5000 0.5000 0.0000 Ge
```

***

No. 18
The following is a DFT calculation (GGA-PBEsol) of a geometry-optimized Ba2GaCuPt structure.

## Properties
E_form = -0.036 eV per atom
N(E_F) = 4.6 states/eV/cell

Cell and atoms, written as POSCAR:
```
Ba2GaCuPt
1.0
5.9497 0.0000 0.0000
0.0000 5.9497 0.0000
0.0000 0.0000 4.7347
Ba Ga Cu Pt
2 1 1 1
Direct
0.0000 0.5000 0.0000 Ba
0.5000 0.0000 0.0000 Ba
0.0000 0.0000 0.5000 Ga
0.5000 0.5000 0.5000 Cu
0.5000 0.5000 0.0000 Pt
```

***

No. 19
The following is a DFT calculation (GGA-PBEsol) of a geometry-optimized YReP2Cl structure.

## Properties
N(E_F) = 3.8 states/eV/cell
Formation energy (no corrections) = 1177 meV/atom

Cell and atoms, written as POSCAR:
```
YReP2Cl
1.0
5.2394 0.0000 0.0000
0.0000 5.2394 0.0000
0.0000 0.0000 4.8976
Y Re P Cl
1 1 2 1
Direct
0.0000 0.0000 0.0000 Y
0.5000 0.5000 0.5000 Re
0.0000 0.5000 0.0000 P
0.5000 0.0000 0.0000 P
0.0000 0.0000 0.5000 Cl
```

***

No. 20
The following is a DFT calculation (GGA-PBEsol) of a geometry-optimized K2CuNi structure.

## Properties
E_form = 0.568 eV per atom
N(E_F) = 3.6 states/eV/cell

Cell and atoms, written as POSCAR:
```
K2CuNi
1.0
4.2660 0.0000 0.0000
0.0000 2.4970 5.3044
0.0000 -2.4970 5.3044
K Cu Ni
2 1 1
Direct
0.0000 0.0000 0.0000 K
0.5000 0.2990 0.2990 K
0.0000 0.6855 0.6855 Cu
0.5000 0.6180 0.6180 Ni
```